(1)
{"formula": "BaLaOs2", "functional": "PBE", "state": "relaxed", "lattice": [[5.154, 0.000, 0.000], [0.000, 5.154, 0.000], [0.000, 0.000, 3.652]], "species": ["Ba", "La", "Os", "Os"], "fractional_positions": [[0.000, 0.000, 0.000], [0.500, 0.500, 0.000], [0.000, 0.500, 0.500], [0.500, 0.000, 0.500]], "vol_a3_per_atom": 24.25, "delta_e_f_ev_per_fu": 3.86, "total_magnetization_mub_per_fu": 0.087, "spacegroup": "P4/mmm", "polymorph_energy_ev_per_fu": 3.49}



(2)
{"formula": "NbFe3Ni12", "functional": "PBE", "state": "relaxed", "lattice": [[3.585, 0.000, 0.000], [0.000, 3.585, 0.000], [0.000, 0.000, 14.307]], "species": ["Nb", "Fe", "Fe", "Fe", "Ni", "Ni", "Ni", "Ni", "Ni", "Ni", "Ni", "Ni", "Ni", "Ni", "Ni", "Ni"], "fractional_positions": [[0.000, 0.000, 0.000], [0.000, 0.000, 0.257], [0.000, 0.000, 0.500], [0.000, 0.000, 0.743], [0.000, 0.500, 0.131], [0.000, 0.500, 0.377], [0.000, 0.500, 0.623], [0.000, 0.500, 0.869], [0.500, 0.000, 0.131], [0.500, 0.000, 0.377], [0.500, 0.000, 0.623], [0.500, 0.000, 0.869], [0.500, 0.500, 0.000], [0.500, 0.500, 0.254], [0.500, 0.500, 0.500], [0.500, 0.500, 0.746]], "vol_a3_per_atom": 11.49, "delta_e_f_ev_per_fu": -1.95, "total_magnetization_mub_per_fu": 14.572, "spacegroup": "P4/mmm"}



(3)
{"formula": "TcN", "functional": "PBE", "state": "relaxed", "lattice": [[8.071, 0.000, 0.000], [-4.036, 6.990, 0.000], [0.000, 0.000, 2.843]], "species": ["Tc", "Tc", "Tc", "Tc", "Tc", "Tc", "N", "N", "N", "N", "N", "N"], "fractional_positions": [[0.115, 0.645, 0.250], [0.355, 0.470, 0.250], [0.470, 0.115, 0.750], [0.530, 0.885, 0.250], [0.645, 0.530, 0.750], [0.885, 0.355, 0.750], [0.067, 0.366, 0.250], [0.299, 0.933, 0.250], [0.366, 0.299, 0.750], [0.634, 0.701, 0.250], [0.701, 0.067, 0.750], [0.933, 0.634, 0.750]], "e_form_raw_ev_per_atom": 0.049, "vol_a3_per_atom": 13.37, "total_magnetization_mub_per_fu": 0.000, "spacegroup": "P6_3/m", "polymorph_energy_ev_per_fu": 0.09}



(4)
{"formula": "YReBr3", "functional": "PBE", "state": "relaxed", "lattice": [[5.622, 0.000, 0.000], [0.000, 5.622, 0.000], [0.000, 0.000, 5.622]], "species": ["Y", "Re", "Br", "Br", "Br"], "fractional_positions": [[0.000, 0.000, 0.000], [0.500, 0.500, 0.500], [0.000, 0.000, 0.500], [0.000, 0.500, 0.000], [0.500, 0.000, 0.000]], "e_form_raw_ev_per_atom": 0.128, "vol_a3_per_atom": 35.54, "total_magnetization_mub_per_fu": 5.000, "spacegroup": "Pm-3m", "polymorph_energy_ev_per_fu": 0.00}



(5)
{"formula": "GaPtS", "functional": "PBE", "state": "relaxed", "lattice": [[6.119, 0.000, 0.000], [0.000, 6.124, 0.000], [-2.583, 0.000, 5.669]], "species": ["Ga", "Ga", "Ga", "Ga", "Pt", "Pt", "Pt", "Pt", "S", "S", "S", "S"], "fractional_positions": [[0.151, 0.000, 0.124], [0.340, 0.501, 0.442], [0.660, 0.001, 0.558], [0.849, 0.500, 0.876], [0.257, 0.132, 0.554], [0.290, 0.634, 0.042], [0.710, 0.134, 0.958], [0.743, 0.632, 0.446], [0.150, 0.745, 0.635], [0.329, 0.251, 0.946], [0.671, 0.751, 0.054], [0.850, 0.245, 0.365]], "e_form_raw_ev_per_atom": -0.500, "vol_a3_per_atom": 17.70, "total_magnetization_mub_per_fu": 0.000, "spacegroup": "P2_1"}



(6)
{"formula": "Nb2GaIr", "functional": "PBE", "state": "relaxed", "lattice": [[2.883, 0.000, 0.000], [0.000, 4.070, 0.000], [-0.012, 0.000, 5.565]], "species": ["Nb", "Nb", "Ga", "Ir"], "fractional_positions": [[0.003, 0.000, 0.247], [0.997, 0.000, 0.753], [0.500, 0.500, 0.500], [0.500, 0.500, 0.000]], "vol_a3_per_atom": 16.33, "delta_e_f_ev_per_fu": -1.73, "total_magnetization_mub_per_fu": 0.000, "spacegroup": "P2/m"}



(7)
{"formula": "LiSb2IN", "functional": "PBE", "state": "relaxed", "lattice": [[4.724, 0.000, 0.000], [0.000, 4.724, 0.000], [0.000, 0.000, 5.351]], "species": ["Li", "Sb", "Sb", "I", "N"], "fractional_positions": [[0.000, 0.000, 0.000], [0.000, 0.500, 0.500], [0.500, 0.000, 0.500], [0.500, 0.500, 0.000], [0.500, 0.500, 0.500]], "e_form_raw_ev_per_atom": 0.550, "vol_a3_per_atom": 23.88, "total_magnetization_mub_per_fu": 0.000, "spacegroup": "P4/mmm", "polymorph_energy_ev_per_fu": 0.00}



(8)
{"formula": "CaMgZr2", "functional": "PBE", "state": "relaxed", "lattice": [[10.777, 0.000, 0.000], [0.000, 3.283, 0.000], [-1.308, 0.000, 5.836]], "species": ["Ca", "Ca", "Mg", "Mg", "Zr", "Zr", "Zr", "Zr"], "fractional_positions": [[0.000, 0.000, 0.000], [0.500, 0.500, 0.000], [0.244, 0.000, 0.777], [0.744, 0.500, 0.777], [0.008, 0.500, 0.485], [0.267, 0.500, 0.336], [0.508, 0.000, 0.485], [0.767, 0.000, 0.336]], "vol_a3_per_atom": 25.81, "delta_e_f_ev_per_fu": 0.83, "total_magnetization_mub_per_fu": 0.000, "spacegroup": "Cm"}



(9)
{"formula": "CaIr2Pt", "functional": "PBE", "state": "relaxed", "lattice": [[4.069, 0.000, 0.000], [0.000, 4.069, 0.000], [0.000, 0.000, 8.070]], "species": ["Ca", "Ca", "Ir", "Ir", "Ir", "Ir", "Pt", "Pt"], "fractional_positions": [[0.000, 0.000, 0.000], [0.500, 0.500, 0.500], [0.000, 0.000, 0.500], [0.000, 0.500, 0.750], [0.500, 0.000, 0.250], [0.500, 0.500, 0.000], [0.000, 0.500, 0.250], [0.500, 0.000, 0.750]], "vol_a3_per_atom": 16.70, "delta_e_f_ev_per_fu": -0.09, "total_magnetization_mub_per_fu": 0.000, "spacegroup": "I-4m2", "polymorph_energy_ev_per_fu": 0.42}



(10)
{"formula": "CdSn3F", "functional": "PBE", "state": "relaxed", "lattice": [[5.532, 0.000, 0.000], [0.000, 5.532, 0.000], [0.000, 0.000, 5.532]], "species": ["Cd", "Sn", "Sn", "Sn", "F"], "fractional_positions": [[0.000, 0.000, 0.000], [0.000, 0.000, 0.500], [0.000, 0.500, 0.000], [0.500, 0.000, 0.000], [0.500, 0.500, 0.500]], "e_form_raw_ev_per_atom": 0.279, "vol_a3_per_atom": 33.86, "total_magnetization_mub_per_fu": 0.000, "spacegroup": "Pm-3m", "polymorph_energy_ev_per_fu": 2.97}



(11)
{"formula": "PuMgPt", "functional": "PBE", "state": "relaxed", "lattice": [[3.293, 0.000, 0.000], [0.000, 3.293, 0.000], [0.000, 0.000, 11.851]], "species": ["Pu", "Pu", "Mg", "Mg", "Pt", "Pt"], "fractional_positions": [[0.000, 0.000, 0.000], [0.500, 0.500, 0.500], [0.000, 0.000, 0.717], [0.500, 0.500, 0.217], [0.000, 0.000, 0.342], [0.500, 0.500, 0.842]], "vol_a3_per_atom": 21.42, "delta_e_f_ev_per_fu": -1.48, "total_magnetization_mub_per_fu": 5.649, "spacegroup": "I4mm"}



(12)
{"formula": "Pm6Pr3NdSm2", "functional": "PBE", "state": "relaxed", "lattice": [[3.177, -5.504, 0.000], [3.177, 5.504, 0.000], [-2.131, 0.000, 11.965]], "species": ["Pm", "Pm", "Pm", "Pm", "Pm", "Pm", "Pr", "Pr", "Pr", "Nd", "Sm", "Sm"], "fractional_positions": [[0.084, 0.417, 0.752], [0.249, 0.249, 0.248], [0.417, 0.084, 0.752], [0.583, 0.916, 0.248], [0.751, 0.751, 0.752], [0.916, 0.583, 0.248], [0.000, 0.000, 0.500], [0.333, 0.667, 0.500], [0.667, 0.333, 0.500], [0.500, 0.500, 0.000], [0.167, 0.833, 0.000], [0.833, 0.167, 0.000]], "vol_a3_per_atom": 34.87, "delta_e_f_ev_per_fu": 0.16, "total_magnetization_mub_per_fu": 0.000, "spacegroup": "C2/m"}